6
Lattice="3.585 0.000 0.000 -0.057 6.328 0.000 -1.661 -2.386 7.187" Properties=species:S:1:pos:R:3 comment="RbCrP (PBE-GGA, optimized geometry)" delta_e_f_ev_per_atom=0.08 density_g_cm3=3.431 total_energy_ev_per_atom=-5.258 crystal_system=triclinic relative_energy_ev_per_atom=0.349 spacegroup="No. 2" pbc="T T T"
Rb 0.042 1.541 1.185
Rb 1.825 2.401 6.002
Cr -0.085 4.492 3.301
Cr 1.951 -0.550 3.886
P 0.171 -0.860 5.369
P 1.695 4.802 1.818